GdYGaPd | PBE | optimized geometry

a = 5.057 Å, b = 5.057 Å, c = 5.057 Å
α = 60.00°, β = 60.00°, γ = 60.00°
Element x y z (fractional)
Gd1 0.000 0.000 0.000
Y1 0.500 0.500 0.500
Ga1 0.750 0.750 0.750
Pd1 0.250 0.250 0.250

## Properties
Raw total energy (eV per atom): -7.89
Crystal system: cubic
Calculated volume (Å³ per cell): 91.4
ΔH_f (0 K) (eV/atom): -0.695


ScCoAs2 | PBE | optimized geometry

a = 4.307 Å, b = 5.462 Å, c = 5.462 Å
α = 33.77°, β = 90.00°, γ = 90.00°
Element x y z (fractional)
Sc1 0.000 0.000 0.000
Co1 0.500 0.345 0.345
As1 0.000 0.274 0.274
As2 0.500 0.566 0.566

## Properties
Raw total energy (eV per atom): -6.09
Crystal system: orthorhombic
Calculated volume (Å³ per cell): 71.4
ΔH_f (0 K) (eV/atom): -0.403


RbP2IrRu | PBE | optimized geometry

a = 7.377 Å, b = 7.377 Å, c = 7.377 Å
α = 148.52°, β = 148.52°, γ = 45.11°
Element x y z (fractional)
Rb1 0.000 0.000 0.000
P1 0.339 0.339 0.000
P2 0.661 0.661 0.000
Ir1 0.750 0.250 0.500
Ru1 0.250 0.750 0.500

## Properties
Raw total energy (eV per atom): -6.66
Crystal system: tetragonal
Calculated volume (Å³ per cell): 109.1
ΔH_f (0 K) (eV/atom): -0.678


Hf3Rh8 | PBE | optimized geometry

a = 4.802 Å, b = 5.505 Å, c = 7.450 Å
α = 85.74°, β = 72.21°, γ = 89.32°
Element x y z (fractional)
Hf1 0.000 0.000 0.000
Hf2 0.000 0.500 0.500
Hf3 0.500 0.000 0.500
Rh1 0.069 0.109 0.328
Rh2 0.202 0.489 0.080
Rh3 0.391 0.577 0.701
Rh4 0.478 0.845 0.156
Rh5 0.522 0.155 0.844
Rh6 0.609 0.423 0.299
Rh7 0.798 0.511 0.920
Rh8 0.931 0.891 0.672

## Properties
Raw total energy (eV per atom): -8.43
Crystal system: triclinic
Calculated volume (Å³ per cell): 187.0
ΔH_f (0 K) (eV/atom): -0.367


Nb6Re5Tc | PBE | optimized geometry

a = 7.164 Å, b = 7.164 Å, c = 6.409 Å
α = 90.00°, β = 90.00°, γ = 143.14°
Element x y z (fractional)
Nb1 0.000 0.000 0.250
Nb2 0.000 0.000 0.750
Nb3 0.333 0.667 0.250
Nb4 0.333 0.667 0.750
Nb5 0.667 0.333 0.250
Nb6 0.667 0.333 0.750
Re1 0.167 0.833 0.000
Re2 0.167 0.833 0.500
Re3 0.500 0.500 0.000
Re4 0.833 0.167 0.000
Re5 0.833 0.167 0.500
Tc1 0.500 0.500 0.500

## Properties
Raw total energy (eV per atom): -11.37
Crystal system: orthorhombic
Calculated volume (Å³ per cell): 197.3
ΔH_f (0 K) (eV/atom): -0.290


MnC3 | PBE | optimized geometry

a = 3.872 Å, b = 3.872 Å, c = 7.891 Å
α = 90.00°, β = 90.00°, γ = 120.00°
Element x y z (fractional)
Mn1 0.333 0.667 0.250
Mn2 0.667 0.333 0.750
C1 0.209 0.417 0.750
C2 0.209 0.791 0.750
C3 0.417 0.209 0.250
C4 0.583 0.791 0.750
C5 0.791 0.209 0.250
C6 0.791 0.583 0.250

## Properties
Raw total energy (eV per atom): -7.66
Crystal system: hexagonal
Distance to the lowest polymorph of the same formula (eV per atom): 0.846
Calculated volume (Å³ per cell): 102.4
ΔH_f (0 K) (eV/atom): 1.555


Zr3Te | PBE | optimized geometry

a = 8.545 Å, b = 8.545 Å, c = 8.545 Å
α = 96.34°, β = 96.34°, γ = 141.19°
Element x y z (fractional)
Zr1 0.043 0.357 0.479
Zr2 0.085 0.208 0.840
Zr3 0.204 0.674 0.904
Zr4 0.326 0.231 0.530
Zr5 0.369 0.245 0.160
Zr6 0.436 0.957 0.314
Zr7 0.643 0.122 0.686
Zr8 0.701 0.796 0.470
Zr9 0.755 0.915 0.124
Zr10 0.769 0.299 0.096
Zr11 0.792 0.631 0.876
Zr12 0.878 0.564 0.521
Te1 0.242 0.485 0.180
Te2 0.305 0.062 0.820
Te3 0.515 0.695 0.757
Te4 0.938 0.758 0.243

## Properties
Raw total energy (eV per atom): -7.70
Crystal system: tetragonal
Calculated volume (Å³ per cell): 368.8


ZrPd3Pt | PBE | optimized geometry

a = 4.963 Å, b = 5.680 Å, c = 6.368 Å
α = 77.68°, β = 74.44°, γ = 74.57°
Element x y z (fractional)
Zr1 0.232 0.278 0.110
Zr2 0.768 0.722 0.890
Pd1 0.191 0.788 0.108
Pd2 0.385 0.594 0.704
Pd3 0.397 0.096 0.705
Pd4 0.603 0.904 0.295
Pd5 0.615 0.406 0.296
Pd6 0.809 0.212 0.892
Pt1 0.000 0.000 0.500
Pt2 0.000 0.500 0.500

## Properties
Raw total energy (eV per atom): -6.66
Crystal system: triclinic
Distance to the lowest polymorph of the same formula (eV per atom): 0.014
Calculated volume (Å³ per cell): 164.8
ΔH_f (0 K) (eV/atom): -0.629


Ba2MgTa | PBE | optimized geometry

a = 7.229 Å, b = 7.229 Å, c = 7.229 Å
α = 151.17°, β = 130.29°, γ = 58.49°
Element x y z (fractional)
Ba1 0.000 0.000 0.000
Ba2 0.701 0.201 0.500
Mg1 0.271 0.771 0.500
Ta1 0.452 0.452 0.000

## Properties
Raw total energy (eV per atom): -3.56
Crystal system: orthorhombic
Calculated volume (Å³ per cell): 137.9
ΔH_f (0 K) (eV/atom): 0.762


SiOsCl | PBE | optimized geometry

a = 4.220 Å, b = 4.220 Å, c = 3.081 Å
α = 90.00°, β = 90.00°, γ = 120.00°
Element x y z (fractional)
Si1 0.000 0.000 0.000
Os1 0.333 0.667 0.809
Cl1 0.667 0.333 0.609

## Properties
Raw total energy (eV per atom): -5.49
Crystal system: trigonal
Distance to the lowest polymorph of the same formula (eV per atom): 0.428
Calculated volume (Å³ per cell): 47.5


MgOsRu | PBE | optimized geometry

a = 4.885 Å, b = 4.556 Å, c = 7.955 Å
α = 90.00°, β = 90.00°, γ = 90.00°
Element x y z (fractional)
Mg1 0.165 0.250 0.008
Mg2 0.335 0.750 0.508
Mg3 0.665 0.250 0.492
Mg4 0.835 0.750 0.992
Os1 0.161 0.250 0.673
Os2 0.339 0.750 0.173
Os3 0.661 0.250 0.827
Os4 0.839 0.750 0.327
Ru1 0.160 0.250 0.343
Ru2 0.340 0.750 0.843
Ru3 0.660 0.250 0.157
Ru4 0.840 0.750 0.657

## Properties
Raw total energy (eV per atom): -7.17
Crystal system: orthorhombic
Distance to the lowest polymorph of the same formula (eV per atom): 0.127
Calculated volume (Å³ per cell): 177.0
ΔH_f (0 K) (eV/atom): 0.197


AcLuRh | PBE | optimized geometry

a = 5.002 Å, b = 5.002 Å, c = 5.002 Å
α = 60.00°, β = 60.00°, γ = 60.00°
Element x y z (fractional)
Ac1 0.000 0.000 0.000
Lu1 0.500 0.500 0.500
Rh1 0.250 0.250 0.250

## Properties
Raw total energy (eV per atom): -5.77
Crystal system: cubic
Distance to the lowest polymorph of the same formula (eV per atom): 0.015
Calculated volume (Å³ per cell): 88.5
ΔH_f (0 K) (eV/atom): -0.448